# 1
SrLi2Au | the Alexandria database | PBEsol | relaxed; space-group type = P2/m (10); energy of formation = -26.70 kJ/mol of atoms; Fermi-level density of states = 0.484 states/eV/atom; distance to the lowest polymorph of the same formula = 103.0 meV/atom
1.0
4.570 0.040 0.000
-0.727 4.548 0.000
0.000 0.000 4.816
Au Li Sr
1 2 1
Cartesian
2.285 0.020 2.408
1.346 0.819 0.000
2.496 3.769 0.000
-0.364 2.274 2.408



# 2
Ba2ScBr | the Alexandria database | PBEsol | relaxed; space-group type = P4/mmm (123); Fermi-level density of states = 1.494 states/eV/atom; formation energy (no corrections) = -0.484 eV per atom; distance to the lowest polymorph of the same formula = 0.0 meV/atom
1.0
3.833 0.000 0.000
0.000 3.834 0.031
0.000 -0.079 9.951
Ba Br Sc
2 1 1
Cartesian
0.000 -0.058 7.259
0.000 3.812 2.723
1.916 1.877 4.991
1.916 1.917 0.016



# 3
Ba3TcH | the Alexandria database | PBEsol | relaxed; space-group type = Pm-3m (221); Fermi-level density of states = 0.708 states/eV/atom; total DFT energy (no corrections) = -17.5 eV/cell
1.0
5.760 0.000 0.000
0.000 5.760 0.000
0.000 0.000 5.760
Ba H Tc
3 1 1
Cartesian
0.000 2.880 0.000
2.880 0.000 0.000
0.000 0.000 2.880
2.880 2.880 2.880
0.000 0.000 0.000



# 4
SrReCl | the Alexandria database | PBEsol | relaxed; space-group type = F-43m (216); Fermi-level density of states = 1.716 states/eV/atom; formation energy (no corrections) = 1.410 eV per atom
1.0
5.036 0.000 0.000
2.518 4.361 0.000
2.518 1.454 4.112
Re Sr Cl
1 1 1
Cartesian
7.554 4.361 3.084
0.000 0.000 0.000
5.036 2.907 2.056



# 5
Nb9PO25 | the Alexandria database | PBEsol | relaxed; space-group type = P4/n (85); Fermi-level density of states = 0.000 states/eV/atom; formation energy (no corrections) = -2.502 eV per atom
1.0
-3.043 1.110 2.100
-7.688 -13.068 -4.232
5.891 -7.518 12.512
Nb O P
18 50 2
Cartesian
-6.495 -11.412 -1.544
-2.277 -4.215 0.696
-1.036 -15.818 8.630
-1.665 -4.967 5.544
3.124 -8.600 10.910
-4.150 -9.327 0.685
1.112 -5.995 10.112
-1.813 -7.238 3.034
-7.481 -12.923 1.322
-1.175 -8.101 7.843
-1.558 -12.774 6.331
0.787 -2.972 7.745
-4.729 -6.211 -1.505
-4.182 -16.994 8.189
0.836 -10.706 8.641
-2.129 -1.945 3.206
-4.703 -13.951 5.890
-5.135 -10.838 3.552
0.375 -9.078 7.138
-5.504 -9.074 2.142
-6.173 -5.684 -0.509
-4.343 -7.815 -0.356
4.452 -7.446 11.953
-0.455 -11.799 7.380
-0.423 -5.935 4.303
-1.419 -6.669 6.767
3.368 -10.032 11.985
-0.857 -9.847 9.286
-3.415 -5.135 -0.428
-0.971 -2.775 1.855
-5.809 -14.882 4.743
1.574 -7.623 11.615
0.069 -14.886 9.777
-7.288 -14.435 2.364
-3.519 -3.247 1.937
-0.025 -7.120 9.114
-1.928 -5.629 1.894
-2.503 -9.255 6.800
-4.922 -12.259 4.648
-2.886 -8.223 1.965
-2.899 -14.094 5.029
-6.709 -9.991 -2.640
-7.590 -12.650 -2.747
-0.527 -4.047 6.668
-5.285 -17.969 7.141
-3.374 -12.519 7.033
-4.040 -9.600 4.755
-2.014 -3.554 4.346
0.952 -4.495 9.048
-5.239 -10.470 -0.345
-4.402 -15.347 7.121
2.231 -3.498 6.749
-2.841 -15.674 9.491
-6.392 -11.780 2.353
-3.970 -18.496 9.561
-1.337 -14.422 7.399
-1.769 -11.272 4.960
-1.369 -8.825 4.246
-2.972 -6.407 4.385
0.997 -12.206 9.704
2.805 -6.853 9.466
-3.711 -10.947 2.204
-7.919 -11.303 -0.196
1.974 -9.581 9.638
-2.366 -17.249 7.487
-6.127 -13.176 -0.135
-2.573 -0.358 1.994
-1.056 -0.959 4.275
0.000 0.000 0.000
-0.899 -10.293 4.140



# 6
Na2ZnCdO | the Alexandria database | PBEsol | relaxed; space-group type = P4/mmm (123); Fermi-level density of states = 0.824 states/eV/atom; formation energy (no corrections) = 0.555 eV per atom
1.0
-0.762 4.738 0.697
-3.331 0.114 -4.412
-4.328 -1.172 3.237
O Zn Na Cd
1 1 2 1
Cartesian
-4.210 1.840 -0.239
-0.381 2.369 0.349
-2.164 -0.586 1.618
-1.665 0.057 -2.206
0.000 0.000 0.000



# 7
SrAg2Cl | the Alexandria database | PBEsol | relaxed; space-group type = Fm-3m (225); Fermi-level density of states = 1.088 states/eV/atom; formation energy (no corrections) = -0.091 eV per atom; distance to the lowest polymorph of the same formula = 568.4 meV/atom
1.0
-2.724 -3.897 1.982
1.658 -4.845 -0.554
1.798 -2.589 4.074
Sr Ag Cl
1 2 1
Cartesian
0.366 -5.666 2.751
0.183 -2.833 1.375
0.549 -8.498 4.126
0.000 0.000 0.000



# 8
Sc3RhC4 | the Alexandria database | PBEsol | relaxed; space-group type = Immm (71); energy of formation = -54.59 kJ/mol of atoms; Fermi-level density of states = 0.356 states/eV/atom
1.0
3.366 0.000 0.000
0.000 4.449 0.000
-1.683 -2.225 6.061
Sc C Rh
3 4 1
Cartesian
0.000 0.000 2.297
1.683 2.225 3.763
0.000 2.225 0.000
0.000 0.722 4.514
1.683 1.503 1.547
1.683 2.946 1.547
0.000 -0.722 4.514
1.683 0.000 0.000



# 9
Dy3Y | the Alexandria database | PBEsol | relaxed; space-group type = P6_3/mmc (194); energy of formation = 1.30 kJ/mol of atoms; Fermi-level density of states = 1.757 states/eV/atom; distance to the lowest polymorph of the same formula = 0.0 meV/atom
1.0
5.553 0.000 0.000
0.000 7.094 0.000
0.000 -3.547 6.144
Dy Y
6 2
Cartesian
4.165 1.767 1.020
4.165 3.547 4.103
4.165 5.327 1.020
1.388 1.780 5.124
1.388 -1.780 5.124
1.388 0.000 2.041
4.165 0.000 4.096
1.388 3.547 2.048



# 10
MnOF | the Alexandria database | PBEsol | relaxed; space-group type = Pc (7); Fermi-level density of states = 0.131 states/eV/atom; formation energy (no corrections) = -1.890 eV per atom
1.0
4.524 -0.021 0.000
-0.388 5.557 0.000
0.000 0.000 9.947
O Mn F
8 8 8
Cartesian
1.103 0.624 3.246
0.874 0.667 8.241
1.242 2.084 5.790
3.310 4.852 4.157
0.529 4.926 0.764
2.942 3.435 1.706
3.171 3.392 6.701
2.985 2.137 9.183
2.138 1.923 7.499
1.923 3.646 0.133
0.183 0.777 4.861
-0.318 4.712 2.448
2.251 3.545 5.086
4.190 4.708 7.456
4.379 0.856 9.814
2.122 1.940 2.491
3.330 2.072 3.972
1.060 3.456 3.534
0.874 4.862 5.975
0.846 3.409 8.466
3.516 0.666 6.413
0.809 2.178 1.091
3.302 0.619 1.481
2.877 4.946 8.856



# 11
LaCd2Pb | the Alexandria database | PBEsol | relaxed; space-group type = P4/mmm (123); energy of formation = -37.50 kJ/mol of atoms; Fermi-level density of states = 0.437 states/eV/atom
1.0
4.624 0.000 0.000
0.000 4.624 0.000
0.000 0.000 4.884
Pb Cd La
1 2 1
Cartesian
0.000 0.000 2.442
2.312 0.000 0.000
0.000 2.312 0.000
2.312 2.312 2.442



# 12
Be2AsPtO | the Alexandria database | PBEsol | relaxed; space-group type = P4/mmm (123); Fermi-level density of states = 0.339 states/eV/atom; formation energy (no corrections) = -0.310 eV per atom
1.0
-0.981 -3.153 0.909
3.209 -1.120 -0.418
1.120 1.202 5.374
As Pt Be O
1 1 2 1
Cartesian
1.674 -1.535 2.933
0.560 0.601 2.687
1.605 -0.560 -0.209
-0.491 -1.576 0.455
0.000 0.000 0.000



# 13
SrHg2OsBr | the Alexandria database | PBEsol | relaxed; space-group type = P4/mmm (123); Fermi-level density of states = 0.852 states/eV/atom; formation energy (no corrections) = 0.158 eV per atom
1.0
5.110 0.000 0.000
0.000 5.110 0.000
0.000 0.000 5.827
Os Hg Sr Br
1 2 1 1
Cartesian
0.000 0.000 0.000
2.555 0.000 0.000
0.000 2.555 0.000
0.000 0.000 2.913
2.555 2.555 2.913



# 14
LiZrNi2 | the Alexandria database | PBEsol | relaxed; space-group type = Pmm2 (25); energy of formation = -0.43 kJ/mol of atoms; Fermi-level density of states = 0.735 states/eV/atom
1.0
-2.182 -0.725 1.496
0.497 -3.627 -1.034
3.058 -0.750 4.097
Zr Ni Li
1 2 1
Cartesian
1.460 -0.358 1.955
-0.107 -2.356 1.216
3.008 -0.737 4.030
1.600 -2.775 3.503



# 15
SnMo6Se8 | the Alexandria database | PBEsol | relaxed; space-group type = R-3 (148); Fermi-level density of states = 0.589 states/eV/atom; formation energy (no corrections) = -0.521 eV per atom
1.0
6.722 0.032 0.032
0.089 6.721 0.032
0.089 0.088 6.721
Sn Se Mo
1 8 6
Cartesian
0.000 0.000 0.000
5.102 2.575 0.846
1.798 4.267 5.938
0.911 5.095 2.567
2.618 0.889 5.073
5.989 1.747 4.217
4.282 5.953 1.712
5.245 5.200 5.157
1.656 1.642 1.628
3.075 5.209 3.920
2.911 3.801 1.608
5.235 3.945 2.997
3.826 1.633 2.865
1.665 2.897 3.787
3.989 3.041 5.176



# 16
CrInRe2 | the Alexandria database | PBEsol | relaxed; space-group type = Cmmm (65); energy of formation = 61.87 kJ/mol of atoms; Fermi-level density of states = 0.999 states/eV/atom
1.0
2.865 0.000 0.000
0.000 4.790 0.011
0.000 -1.879 4.406
Re In Cr
2 1 1
Cartesian
0.000 2.395 0.005
0.000 -0.940 2.203
1.432 1.455 2.209
1.432 0.000 0.000



# 17
TaMn2Mo | the Alexandria database | PBEsol | relaxed; space-group type = C2/m (12); energy of formation = 11.64 kJ/mol of atoms; Fermi-level density of states = 1.088 states/eV/atom; distance to the lowest polymorph of the same formula = 36.3 meV/atom
1.0
-2.077 0.831 1.471
0.308 -4.623 1.443
3.522 2.828 1.774
Mn Ta Mo
2 1 1
Cartesian
0.154 -2.311 0.722
1.761 1.414 0.887
0.877 -0.482 2.344
-1.038 0.415 0.736



# 18
SnTe2N2 | the Alexandria database | PBEsol | relaxed; space-group type = P4/mmm (123); Fermi-level density of states = 0.547 states/eV/atom; formation energy (no corrections) = 1.287 eV per atom
1.0
-3.305 1.578 -2.110
-2.264 -4.024 0.537
-1.808 1.550 3.992
Sn Te N
1 2 2
Cartesian
-3.689 -0.448 1.209
-0.904 0.775 1.996
-1.132 -2.012 0.268
0.000 0.000 0.000
-1.653 0.789 -1.055



# 19
TaRe | the Alexandria database | PBEsol | relaxed; space-group type = P4/nmm (129); energy of formation = -15.30 kJ/mol of atoms; Fermi-level density of states = 0.629 states/eV/atom
1.0
-1.757 -1.364 -2.251
-1.078 -2.097 2.111
-4.851 3.917 1.413
Re Ta
2 2
Cartesian
-4.788 2.383 2.293
-1.481 -0.196 -0.950
-2.322 0.391 1.575
-3.947 1.796 -0.232



# 20
Li2Bi2Pd | the Alexandria database | PBEsol | relaxed; space-group type = P4/mbm (127); energy of formation = -31.51 kJ/mol of atoms; Fermi-level density of states = 0.328 states/eV/atom
1.0
4.436 0.000 0.000
0.000 7.124 0.000
0.000 0.000 7.124
Pd Li Bi
2 4 4
Cartesian
0.000 0.000 0.000
0.000 3.562 3.562
2.218 2.458 1.104
2.218 4.666 6.020
2.218 1.104 4.666
2.218 6.020 2.458
0.000 6.046 4.640
0.000 4.640 1.078
0.000 2.484 6.046
0.000 1.078 2.484



# 21
ZnFe4CoO8 | the Alexandria database | PBEsol | relaxed; space-group type = R3m (160); Fermi-level density of states = 0.698 states/eV/atom; formation energy (no corrections) = -1.160 eV per atom; distance to the lowest polymorph of the same formula = 46.0 meV/atom
1.0
-5.806 0.488 -0.007
-3.425 -3.805 2.783
-2.984 1.456 4.788
O Zn Fe Co
8 1 4 1
Cartesian
-4.656 0.293 4.426
-7.583 -2.167 3.139
-4.887 -2.468 3.374
-6.089 -1.654 5.677
-2.922 -0.445 1.809
-7.350 0.618 4.201
-9.279 -1.414 5.746
-6.137 -0.214 1.910
-0.012 -0.002 0.007
-9.305 -2.103 7.561
-10.494 0.041 6.168
-7.624 -1.162 4.721
-10.714 -2.586 5.166
-4.563 -0.695 2.826



# 22
AlCr2Cl | the Alexandria database | PBEsol | relaxed; space-group type = Immm (71); Fermi-level density of states = 1.128 states/eV/atom; formation energy (no corrections) = 0.471 eV per atom; distance to the lowest polymorph of the same formula = 408.5 meV/atom
1.0
-1.279 -0.250 2.428
3.746 -2.705 1.694
0.624 4.881 -0.733
Cl Al Cr
1 1 2
Cartesian
1.873 -1.353 0.847
-0.639 -0.125 1.214
2.087 0.085 2.671
1.004 1.840 0.718